Below is an optimized crystal structure of PrYTlZn, with properties calculated at the PBE level.

Results
theoretical density = 7.69 g cm⁻³
volume = 26.97 A^3/atom
total moment = 0.0 μB per formula unit
crystal system = cubic
calculated formation energy = -32.78 kJ per mole of atoms

Cell lengths 5.343, 5.343, 5.343 Å; angles 60.00, 60.00, 60.00 degrees
Sites, in units of the cell vectors:
Pr  0.250  0.250  0.250
Y  0.750  0.750  0.750
Tl  0.500  0.500  0.500
Zn  0.000  0.000  0.000